# DyPPbO PBE relaxed
data_DyPPbO
_chemical_formula_sum 'Dy2 P2 Pb2 O2'
_cell_length_a 3.950
_cell_length_b 8.545
_cell_length_c 5.817
_cell_angle_alpha 90.00
_cell_angle_beta 90.00
_cell_angle_gamma 90.00
_space_group_name_H-M_alt 'P 1'
_space_group_IT_number 1
_space_group_name_Hall 'P 1'
loop_
_atom_site_label
_atom_site_type_symbol
_atom_site_fract_x
_atom_site_fract_y
_atom_site_fract_z
_atom_site_occupancy
Dy1 Dy 0.000 0.163 0.430 1
Dy2 Dy 0.000 0.837 0.930 1
O1 O 0.500 0.264 0.395 1
O2 O 0.500 0.736 0.895 1
P1 P 0.000 0.841 0.421 1
P2 P 0.000 0.159 0.921 1
Pb1 Pb 0.500 0.364 0.008 1
Pb2 Pb 0.500 0.636 0.508 1
# energy above the most stable polymorph in this dataset = 0.00 eV per formula unit
# final energy = -48.74 eV per cell